This record from the Alexandria database describes a relaxed NaSmGeS4 crystal. The functional is PBE-GGA.

Lattice parameters (Å, degrees): 6.577 6.686 8.049 90.00 105.60 90.00
Space group P2_1/m (No. 11)
One atom of each set of equivalent atoms:
Na1 0.245 0.250 0.062 x2
Sm1 0.225 0.250 0.557 x2
Ge1 0.238 0.750 0.311 x2
S1 0.009 0.004 0.267 x4
S2 0.424 0.750 0.587 x2
S3 0.445 0.750 0.139 x2

Computed properties:
- Final energy: -5.045 eV per atom
- M_tot: 0.000 μB/f.u.